# KMo2Au, relaxed, DFT PBE
# total magnetization = 0.000 μB/cell
# mass density = 9.131 g/cm3
# total DFT energy (no corrections) = -43.22 eV per cell
# ΔE_f = 1.11 eV/atom
# D(E_F) = 8.16 states/eV/cell
data_KMo2Au
_chemical_formula_sum 'K2 Mo4 Au2'
_cell_length_a 5.502
_cell_length_b 10.686
_cell_length_c 2.647
_cell_angle_alpha 90.00
_cell_angle_beta 90.00
_cell_angle_gamma 90.00
_space_group_name_H-M_alt 'C m m m'
_space_group_IT_number 65
_space_group_name_Hall '-C 2 2'
loop_
_atom_site_label
_atom_site_type_symbol
_atom_site_fract_x
_atom_site_fract_y
_atom_site_fract_z
K1 K 0.000 0.000 0.000
Mo1 Mo 0.250 0.250 0.500
Au1 Au 0.000 0.500 0.000


# Ba4Np3O10, relaxed, DFT PBE
# total magnetization = 18.000 μB/cell
# raw formation energy = -2901 meV/atom
# mass density = 7.672 g/cm3
# total DFT energy (no corrections) = -290.81 eV per cell
# D(E_F) = 36.35 states/eV/cell
data_Ba4Np3O10
_chemical_formula_sum 'Ba8 Np6 O20'
_cell_length_a 4.436
_cell_length_b 4.436
_cell_length_c 31.240
_cell_angle_alpha 90.00
_cell_angle_beta 90.00
_cell_angle_gamma 90.00
_space_group_name_H-M_alt 'I 4/m m m'
_space_group_IT_number 139
_space_group_name_Hall '-I 4 2'
loop_
_atom_site_label
_atom_site_type_symbol
_atom_site_fract_x
_atom_site_fract_y
_atom_site_fract_z
Ba1 Ba 0.000 0.000 0.070
Ba2 Ba 0.000 0.000 0.204
Np1 Np 0.000 0.000 0.358
Np2 Np 0.000 0.000 0.500
O1 O 0.000 0.000 0.287
O2 O 0.000 0.000 0.429
O3 O 0.000 0.500 0.000
O4 O 0.000 0.500 0.141


# Re3SnAu, relaxed, DFT PBE
# total magnetization = 4.823 μB/cell
# mass density = 12.515 g/cm3
# total DFT energy (no corrections) = -31.10 eV per cell
# ΔE_f = 2.71 eV/atom
# D(E_F) = 6.70 states/eV/cell
data_Re3SnAu
_chemical_formula_sum 'Re3 Sn1 Au1'
_cell_length_a 4.877
_cell_length_b 4.877
_cell_length_c 4.877
_cell_angle_alpha 90.00
_cell_angle_beta 90.00
_cell_angle_gamma 90.00
_space_group_name_H-M_alt 'P m -3 m'
_space_group_IT_number 221
_space_group_name_Hall '-P 4 2 3'
loop_
_atom_site_label
_atom_site_type_symbol
_atom_site_fract_x
_atom_site_fract_y
_atom_site_fract_z
Re1 Re 0.000 0.000 0.500
Sn1 Sn 0.500 0.500 0.500
Au1 Au 0.000 0.000 0.000


# CoPIr4, relaxed, DFT PBE
# total magnetization = 12.710 μB/cell
# mass density = 14.774 g/cm3
# total DFT energy (no corrections) = -171.83 eV per cell
# ΔE_f = 0.83 eV/atom
# D(E_F) = 41.92 states/eV/cell
data_CoPIr4
_chemical_formula_sum 'Co4 P4 Ir16'
_cell_length_a 7.282
_cell_length_b 7.282
_cell_length_c 7.282
_cell_angle_alpha 90.00
_cell_angle_beta 90.00
_cell_angle_gamma 90.00
_space_group_name_H-M_alt 'F -4 3 m'
_space_group_IT_number 216
_space_group_name_Hall 'F -4 2 3'
loop_
_atom_site_label
_atom_site_type_symbol
_atom_site_fract_x
_atom_site_fract_y
_atom_site_fract_z
Co1 Co 0.000 0.000 0.000
P1 P 0.250 0.250 0.250
Ir1 Ir 0.125 0.125 0.625


# AcPm4SmSe8, relaxed, DFT PBE
# total magnetization = 0.002 μB/cell
# raw formation energy = -1741 meV/atom
# mass density = 5.622 g/cm3
# total DFT energy (no corrections) = -240.22 eV per cell
# D(E_F) = 28.69 states/eV/cell
data_AcPm4SmSe8
_chemical_formula_sum 'Ac3 Pm12 Sm3 Se24'
_cell_length_a 8.7270
_cell_length_b 8.7270
_cell_length_c 21.3462
_cell_angle_alpha 90.00
_cell_angle_beta 90.00
_cell_angle_gamma 120.00
_space_group_name_H-M_alt 'R 3 m'
_space_group_IT_number 160
_space_group_name_Hall 'R 3 -2"'
loop_
_atom_site_label
_atom_site_type_symbol
_atom_site_fract_x
_atom_site_fract_y
_atom_site_fract_z
Ac1 Ac 0.0000 0.0000 0.0000
Pm1 Pm 0.0000 0.0000 0.2496
Pm2 Pm 0.0062 0.5031 0.1257
Sm1 Sm 0.0000 0.0000 0.6228
Se1 Se 0.0000 0.0000 0.3813
Se2 Se 0.0000 0.0000 0.8620
Se3 Se 0.0352 0.5176 0.3789
Se4 Se 0.1760 0.3521 0.2066


# RbBeN2, relaxed, DFT PBE
# total magnetization = 4.904 μB/cell
# raw formation energy = 461 meV/atom
# mass density = 3.688 g/cm3
# total DFT energy (no corrections) = -77.99 eV per cell
# D(E_F) = 7.69 states/eV/cell
data_RbBeN2
_chemical_formula_sum 'Rb4 Be4 N8'
_cell_length_a 4.645
_cell_length_b 4.645
_cell_length_c 10.226
_cell_angle_alpha 90.00
_cell_angle_beta 90.00
_cell_angle_gamma 90.00
_space_group_name_H-M_alt 'I 41/a m d'
_space_group_IT_number 141
loop_
_space_group_symop_operation_xyz
'x,y,z'
'-x,-y,-z'
'-y+1/4,x+3/4,z+1/4'
'y+1/4,-x+3/4,-z+1/4'
'-x+1/2,-y,z+1/2'
'x+1/2,y,-z+1/2'
'y+1/4,-x+1/4,z+3/4'
'-y+1/4,x+1/4,-z+3/4'
'x,-y,-z'
'-x,y,z'
'-y+1/4,-x+1/4,-z+3/4'
'y+1/4,x+1/4,z+3/4'
'-x+1/2,y,-z+1/2'
'x+1/2,-y,z+1/2'
'y+1/4,x+3/4,-z+1/4'
'-y+1/4,-x+3/4,z+1/4'
'x+1/2,y+1/2,z+1/2'
'-x+1/2,-y+1/2,-z+1/2'
'-y+3/4,x+1/4,z+3/4'
'y+3/4,-x+1/4,-z+3/4'
'-x,-y+1/2,z'
'x,y+1/2,-z'
'y+3/4,-x+3/4,z+1/4'
'-y+3/4,x+3/4,-z+1/4'
'x+1/2,-y+1/2,-z+1/2'
'-x+1/2,y+1/2,z+1/2'
'-y+3/4,-x+3/4,-z+1/4'
'y+3/4,x+3/4,z+1/4'
'-x,y+1/2,-z'
'x,-y+1/2,z'
'y+3/4,x+1/4,-z+3/4'
'-y+3/4,-x+1/4,z+3/4'
loop_
_atom_site_label
_atom_site_type_symbol
_atom_site_fract_x
_atom_site_fract_y
_atom_site_fract_z
Rb1 Rb 0.000 0.250 0.375
Be1 Be 0.000 0.250 0.875
N1 N 0.000 0.000 0.000